(1)
Compound: RbBeP2O
Source: the Alexandria database
Functional: meta-GGA SCAN
Structure: single point on PBEsol structure

extended XYZ file:
```
5
Lattice="-1.7670 2.0096 2.9715 -3.0206 -4.3252 1.1290 3.7814 -1.7457 3.4292" Properties=species:S:1:pos:R:3 pbc="T T T"
P 1.8907 -0.8728 1.7146
P -1.5103 -2.1626 0.5645
O -0.8835 1.0048 1.4857
Rb 0.0000 0.0000 0.0000
Be -0.5031 -2.0306 3.7648
```

Results
Total moment: 0.00 μB/atom
Space-group type: P4/mmm, No. 123
Formation energy from raw total energies: 10.90 eV/f.u.

(2)
Compound: RbBePO4
Source: the Alexandria database
Functional: meta-GGA SCAN
Structure: single point on PBEsol structure

extended XYZ file:
```
28
Lattice="5.0021 0.0000 0.0000 0.0000 8.5822 0.0000 0.0000 0.0000 8.6222" Properties=species:S:1:pos:R:3 pbc="T T T"
Rb 2.5407 8.5580 2.5376
Rb 0.0396 0.0242 6.0846
Rb 2.5407 4.2669 1.7735
Rb 0.0396 4.3152 6.8487
Be 0.0041 2.7586 3.5404
Be 2.5051 5.8236 5.0818
Be 0.0041 7.0496 0.7707
Be 2.5051 1.5325 7.8515
P 4.9995 1.5996 0.7153
P 2.4985 6.9825 7.9069
P 4.9995 5.8907 3.5958
P 2.4985 2.6914 5.0264
O 1.4852 2.2234 3.9502
O 3.9863 6.3588 4.6720
O 1.4852 6.5145 0.3609
O 3.9863 2.0677 8.2613
O 4.9832 0.0762 0.8485
O 2.4821 8.5060 7.7738
O 4.9832 4.3673 3.4627
O 2.4821 4.2149 5.1596
O 1.4079 2.0931 0.3135
O 3.9090 6.4891 8.3087
O 1.4079 6.3842 3.9976
O 3.9090 2.1980 4.6247
O 2.0942 2.0730 6.3752
O 4.5953 6.5092 2.2471
O 2.0942 6.3641 6.5582
O 4.5953 2.2181 2.0641
```

Results
Total moment: 0.00 μB/atom
Space-group type: Pna2_1, No. 33
Formation energy from raw total energies: -19.31 eV/f.u.

(3)
Compound: SrBe2P2O8
Source: the Alexandria database
Functional: meta-GGA SCAN
Structure: single point on PBEsol structure

extended XYZ file:
```
52
Lattice="-1.9003 -5.1953 5.7549 -4.8849 -4.2018 -5.4441 7.0078 -5.1368 -2.3233" Properties=species:S:1:pos:R:3 pbc="T T T"
Sr 0.6587 -6.9002 -3.2126
Sr -5.1560 -8.0651 -0.7668
Sr -0.4360 -7.6337 1.2002
Sr 5.3787 -6.4688 -1.2457
Be 2.1399 -6.1776 -0.1151
Be -1.8439 -4.5189 1.6101
Be -1.9173 -8.3563 -1.8974
Be 2.0666 -10.0151 -3.6226
Be 1.7616 -10.8032 1.0884
Be 1.7074 -2.2191 -0.6454
Be -1.5390 -3.7307 -3.1009
Be -1.4847 -12.3148 -1.3671
P 2.4493 -8.8855 -0.9882
P 0.9838 -4.1105 1.4431
P -2.2267 -5.6484 -1.0243
P -0.7612 -10.4234 -3.4556
P 2.7178 -8.1004 -5.7551
P -2.6235 -10.2308 0.2534
P -2.4952 -6.4336 3.7426
P 2.8461 -4.3032 -2.2659
O 2.0989 -8.8735 -2.4945
O -3.3804 -8.4491 -2.5511
O -1.8763 -5.6604 0.4820
O 3.6030 -6.0848 0.5386
O 2.1997 -5.5633 -1.6285
O -1.7687 -5.2321 3.0786
O -1.9771 -8.9706 -0.3840
O 1.9913 -9.3018 -5.0911
O 1.6324 -7.7224 -0.3491
O -0.4835 -3.5992 1.5613
O -1.4098 -6.8115 -1.6634
O 0.7062 -10.9347 -3.5738
O 2.0899 -10.2235 -0.3613
O 1.8453 -3.1405 0.6497
O -1.8673 -4.3104 -1.6512
O -1.6227 -11.3934 -2.6622
O 0.9762 -5.5253 0.8014
O 3.9652 -8.5763 -0.8465
O -0.7536 -9.0086 -2.8139
O -3.7426 -5.9577 -1.1660
O -1.8070 -11.5125 0.0233
O -2.8817 -3.3126 -3.9393
O 2.0296 -3.0214 -2.0358
O 3.1044 -11.2213 1.9268
O 2.7214 -6.9421 -4.7500
O -4.0582 -10.3400 -0.2773
O -2.4988 -7.5918 2.7375
O 4.2808 -4.1939 -1.7352
O 0.8881 -9.7201 1.9538
O 0.2079 -1.5627 -0.7241
O -0.6654 -4.8138 -3.9663
O 0.0147 -12.9712 -1.2884
```

Results
Total moment: 0.00 μB/atom
Space-group type: P2_1/c, No. 14
Formation energy from raw total energies: -38.86 eV/f.u.

(4)
Compound: SrBeP2O
Source: the Alexandria database
Functional: meta-GGA SCAN
Structure: single point on PBEsol structure

extended XYZ file:
```
5
Lattice="4.2374 0.0000 0.0000 0.0000 5.4296 0.0000 0.0000 0.0000 5.4296" Properties=species:S:1:pos:R:3 pbc="T T T"
Sr 0.0000 0.0000 0.0000
Be 2.1187 2.7148 2.7148
O 2.1187 0.0000 0.0000
P 0.0000 0.0000 2.7148
P 0.0000 2.7148 0.0000
```

Results
Total moment: 0.44 μB/atom
Space-group type: P4/mmm, No. 123
Formation energy from raw total energies: 6.04 eV/f.u.

(5)
Compound: BeTcP2O
Source: the Alexandria database
Functional: meta-GGA SCAN
Structure: single point on PBEsol structure

extended XYZ file:
```
5
Lattice="2.8447 0.0000 0.0000 0.0000 4.6021 0.0000 0.0000 0.0000 4.6021" Properties=species:S:1:pos:R:3 pbc="T T T"
P 0.0000 0.0000 2.3011
P 0.0000 2.3011 0.0000
Tc 1.4224 2.3011 2.3011
O 1.4224 0.0000 0.0000
Be 0.0000 0.0000 0.0000
```

Results
Total moment: 0.00 μB/atom
Space-group type: P4/mmm, No. 123
Formation energy from raw total energies: 0.49 eV/f.u.

(6)
Compound: BeTcPO2
Source: the Alexandria database
Functional: meta-GGA SCAN
Structure: single point on PBEsol structure

extended XYZ file:
```
5
Lattice="-2.5153 1.8880 0.9245 -1.2353 -0.1611 -3.0321 -2.7881 -4.3847 1.3689" Properties=species:S:1:pos:R:3 pbc="T T T"
P -1.3940 -2.1924 0.6845
Tc -3.2693 -1.3289 -0.3693
O -0.6177 -0.0806 -1.5160
O -1.2576 0.9440 0.4622
Be 0.0000 0.0000 0.0000
```

Results
Total moment: 0.45 μB/atom
Space-group type: P4/mmm, No. 123
Formation energy from raw total energies: -1.39 eV/f.u.

(7)
Compound: BeTeP2O
Source: the Alexandria database
Functional: meta-GGA SCAN
Structure: single point on PBEsol structure

extended XYZ file:
```
5
Lattice="3.0654 0.0000 0.0000 0.0000 4.9289 0.0000 0.0000 0.0000 4.9289" Properties=species:S:1:pos:R:3 pbc="T T T"
P 0.0000 0.0000 2.4645
P 0.0000 2.4645 0.0000
Te 1.5327 2.4645 2.4645
O 1.5327 0.0000 0.0000
Be 0.0000 0.0000 0.0000
```

Results
Total moment: 0.00 μB/atom
Space-group type: P4/mmm, No. 123
Formation energy from raw total energies: 0.02 eV/f.u.

(8)
Compound: YBePO2
Source: the Alexandria database
Functional: meta-GGA SCAN
Structure: single point on PBEsol structure

extended XYZ file:
```
5
Lattice="4.0741 0.0000 0.0000 0.0000 4.0741 0.0000 0.0000 0.0000 5.8336" Properties=species:S:1:pos:R:3 pbc="T T T"
Y 0.0000 0.0000 0.0000
P 0.0000 0.0000 2.9168
O 0.0000 2.0370 0.0000
O 2.0370 0.0000 0.0000
Be 2.0370 2.0370 2.9168
```

Results
Total moment: 0.38 μB/atom
Space-group type: P4/mmm, No. 123
Formation energy from raw total energies: -2.42 eV/f.u.